The following is a PBE calculation of crystalline Sr2InAg4Bi3 at its relaxed geometry, from the Alexandria database.

Space group = P-4m2
Energy of formation from the pure elements = -326.0 meV per atom

Cell lengths 4.7180, 4.7180, 12.6568 Å; angles 90.00, 90.00, 90.00 degrees
Fractional coordinates of all 10 atoms:
Ag (0.0000, 0.0000, 0.0000)
Ag (0.0000, 0.5000, 0.3603)
Ag (0.5000, 0.0000, 0.6397)
Ag (0.5000, 0.5000, 0.0000)
Sr (0.5000, 0.0000, 0.2408)
Sr (0.0000, 0.5000, 0.7592)
In (0.5000, 0.5000, 0.5000)
Bi (0.0000, 0.5000, 0.1379)
Bi (0.0000, 0.0000, 0.5000)
Bi (0.5000, 0.0000, 0.8621)